# USb2Ru | Alexandria via LeMat-Bulk | PBE | relaxed
data_USb2Ru
_chemical_formula_sum 'U3 Sb6 Ru3'
_space_group_name_H-M_alt 'R -3 m'
_space_group_IT_number 166
_space_group_name_Hall '-R 3 2"'
_cell_length_a 3.1254
_cell_length_b 3.1254
_cell_length_c 31.2859
_cell_angle_alpha 90.00
_cell_angle_beta 90.00
_cell_angle_gamma 120.00
loop_
_atom_site_label
_atom_site_type_symbol
_atom_site_fract_x
_atom_site_fract_y
_atom_site_fract_z
_atom_site_occupancy
U1 U 0.0000 0.0000 0.0000 1
Sb1 Sb 0.0000 0.0000 0.4187 1
Ru1 Ru 0.0000 0.0000 0.5000 1
# formation energy without anion corrections	0.398	eV per atom
# D(E_F)	5.8	states/eV/f.u.
# electronic total energy	-81.65	eV/cell


# HgW2Au | Alexandria via LeMat-Bulk | PBE | relaxed
data_HgW2Au
_chemical_formula_sum 'Hg1 W2 Au1'
_space_group_name_H-M_alt 'P 1 2/m 1'
_space_group_IT_number 10
_cell_length_a 2.803
_cell_length_b 4.402
_cell_length_c 5.634
_cell_angle_alpha 90.00
_cell_angle_beta 90.16
_cell_angle_gamma 90.00
loop_
_space_group_symop_operation_xyz
'x,y,z'
'-x,-y,-z'
'-x,y,-z'
'x,-y,z'
loop_
_atom_site_label
_atom_site_type_symbol
_atom_site_fract_x
_atom_site_fract_y
_atom_site_fract_z
_atom_site_occupancy
Hg1 Hg 0.000 0.000 0.000 1
W1 W 0.496 0.500 0.738 1
Au1 Au 0.000 0.000 0.500 1
# D(E_F)	0.5	states/eV/f.u.
# energy relative to the elements	2.62	eV per formula unit
# electronic total energy	-26.86	eV/cell


# Li24Au5 | Alexandria via LeMat-Bulk | PBE | relaxed
data_Li24Au5
_chemical_formula_sum 'Li48 Au10'
_space_group_name_H-M_alt 'I -4 3 m'
_space_group_IT_number 217
_space_group_name_Hall 'I -4 2 3'
_cell_length_a 9.776
_cell_length_b 9.776
_cell_length_c 9.776
_cell_angle_alpha 90.00
_cell_angle_beta 90.00
_cell_angle_gamma 90.00
loop_
_atom_site_label
_atom_site_type_symbol
_atom_site_fract_x
_atom_site_fract_y
_atom_site_fract_z
_atom_site_occupancy
Li1 Li 0.047 0.355 0.645 1
Li2 Li 0.087 0.087 0.728 1
Au1 Au 0.000 0.000 0.000 1
Au2 Au 0.188 0.188 0.188 1
# D(E_F)	13.6	states/eV/f.u.
# energy relative to the elements	-5.71	eV per formula unit
# electronic total energy	-136.05	eV/cell


# CaPr3Cd3 | Alexandria via LeMat-Bulk | PBE | relaxed
data_CaPr3Cd3
_chemical_formula_sum 'Ca4 Pr12 Cd12'
_space_group_name_H-M_alt 'C m m m'
_space_group_IT_number 65
_space_group_name_Hall '-C 2 2'
_cell_length_a 10.867
_cell_length_b 11.051
_cell_length_c 7.390
_cell_angle_alpha 90.00
_cell_angle_beta 90.00
_cell_angle_gamma 90.00
loop_
_atom_site_label
_atom_site_type_symbol
_atom_site_fract_x
_atom_site_fract_y
_atom_site_fract_z
_atom_site_occupancy
Ca1 Ca 0.223 0.000 0.000 1
Pr1 Pr 0.000 0.224 0.500 1
Pr2 Pr 0.000 0.270 0.000 1
Pr3 Pr 0.245 0.000 0.500 1
Cd1 Cd 0.000 0.500 0.273 1
Cd2 Cd 0.250 0.250 0.250 1
# D(E_F)	7.4	states/eV/f.u.
# energy relative to the elements	-1.33	eV per formula unit
# electronic total energy	-81.64	eV/cell